P) Here is an optimized crystal structure of Tc3PW from the Alexandria database. Energies are from PBE.

The density of states at the Fermi level is 4.69 states/eV/f.u.

The structure belongs to space group Pm-3m (No. 221); the cell edges are 4.309, 4.309 and 4.309 Å and the angles 90.00°, 90.00° and 90.00°. The distinct sites, in fractional coordinates, are Tc at (0.000, 0.000, 0.500), P at (0.000, 0.000, 0.000) and W at (0.500, 0.500, 0.500).



Q) Here is an optimized crystal structure of Tc3PW from the Alexandria database. Energies are from PBE.

The density of states at the Fermi level is 3.59 states/eV/f.u.

The structure belongs to space group Cmce (No. 64); the cell edges are 9.066, 13.420 and 4.718 Å and the angles 90.00°, 90.00° and 90.00°. The distinct sites, in fractional coordinates, are Tc at (0.000, 0.195, 0.060), Tc at (0.144, 0.000, 0.000), Tc at (0.250, 0.182, 0.750), P at (0.250, 0.140, 0.250) and W at (0.000, 0.096, 0.546).



R) Here is an optimized crystal structure of Tc3PW from the Alexandria database. Energies are from PBE.

The density of states at the Fermi level is 6.79 states/eV/f.u.

The structure belongs to space group Pm-3m (No. 221); the cell edges are 4.706, 4.706 and 4.706 Å and the angles 90.00°, 90.00° and 90.00°. The distinct sites, in fractional coordinates, are Tc at (0.000, 0.000, 0.500), P at (0.500, 0.500, 0.500) and W at (0.000, 0.000, 0.000).



Quick ranking, most stable first: Q), P), R).



P) Here is an optimized crystal structure of TcP2W2 from the Alexandria database. Energies are from PBE.

The density of states at the Fermi level is 4.31 states/eV/f.u.

The structure belongs to space group P4/mbm (No. 127); the cell edges are 6.701, 6.701 and 3.151 Å and the angles 90.00°, 90.00° and 90.00°. The distinct sites, in fractional coordinates, are Tc at (0.000, 0.000, 0.000), P at (0.156, 0.344, 0.000) and W at (0.143, 0.643, 0.500).



Q) Here is an optimized crystal structure of TcP2W2 from the Alexandria database. Energies are from PBE.

The density of states at the Fermi level is 2.31 states/eV/f.u.

The structure belongs to space group I4/mmm (No. 139); the cell edges are 4.227, 4.227 and 8.788 Å and the angles 90.00°, 90.00° and 90.00°. The distinct sites, in fractional coordinates, are Tc at (0.000, 0.000, 0.000), P at (0.000, 0.000, 0.379) and W at (0.000, 0.500, 0.250).



Quick ranking, most stable first: P), Q).



P) Here is an optimized crystal structure of YTcP2 from the Alexandria database. Energies are from PBE.

The density of states at the Fermi level is 2.74 states/eV/f.u.

The structure belongs to space group Amm2 (No. 38); the cell edges are 4.434, 3.486 and 10.334 Å and the angles 90.00°, 90.00° and 90.00°. The distinct sites, in fractional coordinates, are Y at (0.000, 0.000, 0.000), Tc at (0.500, 0.000, 0.225), P at (0.000, 0.000, 0.283) and P at (0.500, 0.000, 0.574).



Q) Here is an optimized crystal structure of YTcP2 from the Alexandria database. Energies are from PBE.

The density of states at the Fermi level is 3.28 states/eV/f.u.

The structure belongs to space group R3m (No. 160, hexagonal axes); the cell edges are 3.2510, 3.2510 and 23.4401 Å and the angles 90.00°, 90.00° and 120.00°. The distinct sites, in fractional coordinates, are Y at (0.0000, 0.0000, 0.0000), Tc at (0.0000, 0.0000, 0.2350), P at (0.0000, 0.0000, 0.5037) and P at (0.0000, 0.0000, 0.7601).



R) Here is an optimized crystal structure of YTcP2 from the Alexandria database. Energies are from PBE.

The density of states at the Fermi level is 0.08 states/eV/f.u.

The structure belongs to space group Fm-3m (No. 225); the cell edges are 6.391, 6.391 and 6.391 Å and the angles 90.00°, 90.00° and 90.00°. The distinct sites, in fractional coordinates, are Y at (0.000, 0.000, 0.000), Tc at (0.000, 0.000, 0.500) and P at (0.250, 0.250, 0.250).



Quick ranking, most stable first: P), R), Q).



P) Here is an optimized crystal structure of YTcP2 from the Alexandria database. Energies are from PBE.

The density of states at the Fermi level is 1.78 states/eV/f.u.

The structure belongs to space group Cm (No. 8); the cell edges are 8.923, 3.257 and 4.976 Å and the angles 90.00°, 103.86° and 90.00°. The distinct sites, in fractional coordinates, are Y at (0.000, 0.000, 0.000), Tc at (0.226, 0.000, 0.584), P at (0.008, 0.500, 0.503) and P at (0.259, 0.500, 0.253).



Q) Here is an optimized crystal structure of YTcP2 from the Alexandria database. Energies are from PBE.

The density of states at the Fermi level is 2.37 states/eV/f.u.

The structure belongs to space group Cmmm (No. 65); the cell edges are 4.350, 4.358 and 6.764 Å and the angles 90.00°, 90.00° and 90.00°. The distinct sites, in fractional coordinates, are Y at (0.000, 0.000, 0.000), Tc at (0.000, 0.000, 0.500) and P at (0.000, 0.500, 0.294).



R) Here is an optimized crystal structure of YTcP2 from the Alexandria database. Energies are from PBE.

The density of states at the Fermi level is 0.38 states/eV/f.u.

The structure belongs to space group I-42d (No. 122); the cell edges are 5.377, 5.377 and 12.787 Å and the angles 90.00°, 90.00° and 90.00°. The distinct sites, in fractional coordinates, are Y at (0.000, 0.000, 0.000), Tc at (0.000, 0.000, 0.500) and P at (0.167, 0.250, 0.625).



Quick ranking, most stable first: Q), P), R).



P) Here is an optimized crystal structure of YTcP2 from the Alexandria database. Energies are from PBE.

The density of states at the Fermi level is 3.52 states/eV/f.u.

The structure belongs to space group I-4m2 (No. 119); the cell edges are 3.767, 3.767 and 9.812 Å and the angles 90.00°, 90.00° and 90.00°. The distinct sites, in fractional coordinates, are Y at (0.000, 0.000, 0.000), Tc at (0.000, 0.500, 0.250), P at (0.000, 0.000, 0.500) and P at (0.000, 0.500, 0.750).



Q) Here is an optimized crystal structure of YTcP2 from the Alexandria database. Energies are from PBE.

The density of states at the Fermi level is 2.06 states/eV/f.u.

The structure belongs to space group Immm (No. 71); the cell edges are 3.984, 5.366 and 6.594 Å and the angles 90.00°, 90.00° and 90.00°. The distinct sites, in fractional coordinates, are Y at (0.000, 0.000, 0.000), Tc at (0.000, 0.000, 0.500) and P at (0.000, 0.500, 0.202).



Quick ranking, most stable first: Q), P).



P) Here is an optimized crystal structure of YTcP2 from the Alexandria database. Energies are from PBE.

The density of states at the Fermi level is 3.31 states/eV/f.u.

The structure belongs to space group C2/m (No. 12); the cell edges are 6.730, 3.894 and 5.838 Å and the angles 90.00°, 112.73° and 90.00°. The distinct sites, in fractional coordinates, are Y at (0.000, 0.000, 0.000), Tc at (0.000, 0.500, 0.500) and P at (0.229, 0.000, 0.688).



Q) Here is an optimized crystal structure of YTcP2 from the Alexandria database. Energies are from PBE.

The density of states at the Fermi level is 1.47 states/eV/f.u.

The structure belongs to space group Pmmm (No. 47); the cell edges are 3.730, 4.022 and 4.867 Å and the angles 90.00°, 90.00° and 90.00°. The distinct sites, in fractional coordinates, are Y at (0.000, 0.000, 0.000), Tc at (0.500, 0.000, 0.500) and P at (0.500, 0.500, 0.229).



R) Here is an optimized crystal structure of YTcP2 from the Alexandria database. Energies are from PBE.

The density of states at the Fermi level is 1.35 states/eV/f.u.

The structure belongs to space group Imm2 (No. 44); the cell edges are 3.179, 3.498 and 12.672 Å and the angles 90.00°, 90.00° and 90.00°. The distinct sites, in fractional coordinates, are Y at (0.000, 0.000, 0.000), Tc at (0.000, 0.500, 0.253), P at (0.000, 0.000, 0.612) and P at (0.000, 0.500, 0.829).



Quick ranking, most stable first: P), R), Q).